# Fe2SbPb (PBE-GGA, relaxed)
data_Fe2SbPb
_chemical_formula_sum 'Fe2 Sb1 Pb1'
_cell_length_a 6.661
_cell_length_b 6.661
_cell_length_c 6.661
_cell_angle_alpha 152.70
_cell_angle_beta 143.45
_cell_angle_gamma 46.22
_symmetry_space_group_name_H-M 'P 1'
_symmetry_Int_Tables_number 1
loop_
_symmetry_equiv_pos_as_xyz
'x,y,z'
loop_
_atom_site_label
_atom_site_type_symbol
_atom_site_fract_x
_atom_site_fract_y
_atom_site_fract_z
Fe1 Fe 0.000 0.000 0.000
Fe2 Fe 0.843 0.343 0.500
Sb1 Sb 0.480 0.480 0.000
Pb1 Pb 0.217 0.717 0.500
# Distance to the lowest polymorph of the same formula in meV per atom: 162
# Uncorrected formation energy in eV/f.u.: 1.44

=====

# Tl2FeSi (PBE-GGA, relaxed)
data_Tl2FeSi
_chemical_formula_sum 'Tl2 Fe1 Si1'
_cell_length_a 5.576
_cell_length_b 5.576
_cell_length_c 5.576
_cell_angle_alpha 135.48
_cell_angle_beta 135.48
_cell_angle_gamma 64.78
_symmetry_space_group_name_H-M 'P 1'
_symmetry_Int_Tables_number 1
loop_
_symmetry_equiv_pos_as_xyz
'x,y,z'
loop_
_atom_site_label
_atom_site_type_symbol
_atom_site_fract_x
_atom_site_fract_y
_atom_site_fract_z
Tl1 Tl 0.000 0.000 0.000
Tl2 Tl 0.750 0.250 0.500
Fe1 Fe 0.250 0.750 0.500
Si1 Si 0.500 0.500 0.000
# Distance to the lowest polymorph of the same formula in meV per atom: 503
# Uncorrected formation energy in eV/f.u.: 2.95

=====

# KBaLi2Cu (PBE-GGA, relaxed)
data_KBaLi2Cu
_chemical_formula_sum 'K1 Ba1 Li2 Cu1'
_cell_length_a 5.551
_cell_length_b 5.551
_cell_length_c 5.935
_cell_angle_alpha 90.00
_cell_angle_beta 90.00
_cell_angle_gamma 90.00
_symmetry_space_group_name_H-M 'P 1'
_symmetry_Int_Tables_number 1
loop_
_symmetry_equiv_pos_as_xyz
'x,y,z'
loop_
_atom_site_label
_atom_site_type_symbol
_atom_site_fract_x
_atom_site_fract_y
_atom_site_fract_z
K1 K 0.000 0.000 0.000
Ba1 Ba 0.500 0.500 0.000
Li1 Li 0.000 0.500 0.500
Li2 Li 0.500 0.000 0.500
Cu1 Cu 0.500 0.500 0.500
# Energy of formation in meV/atom: 200
# Distance to the lowest polymorph of the same formula in meV per atom: 0

=====

# KNa12Sr16 (PBE-GGA, relaxed)
data_KNa12Sr16
_chemical_formula_sum 'K1 Na12 Sr16'
_cell_length_a 12.215
_cell_length_b 12.215
_cell_length_c 12.174
_cell_angle_alpha 109.30
_cell_angle_beta 109.30
_cell_angle_gamma 109.49
_symmetry_space_group_name_H-M 'P 1'
_symmetry_Int_Tables_number 1
loop_
_symmetry_equiv_pos_as_xyz
'x,y,z'
loop_
_atom_site_label
_atom_site_type_symbol
_atom_site_fract_x
_atom_site_fract_y
_atom_site_fract_z
K1 K 0.000 0.000 0.000
Na1 Na 0.035 0.035 0.538
Na2 Na 0.035 0.220 0.356
Na3 Na 0.207 0.207 0.887
Na4 Na 0.208 0.566 0.528
Na5 Na 0.220 0.035 0.356
Na6 Na 0.392 0.574 0.072
Na7 Na 0.393 0.752 0.899
Na8 Na 0.566 0.208 0.528
Na9 Na 0.571 0.749 0.711
Na10 Na 0.574 0.392 0.072
Na11 Na 0.749 0.571 0.711
Na12 Na 0.752 0.393 0.899
Sr1 Sr 0.006 0.684 0.326
Sr2 Sr 0.032 0.392 0.714
Sr3 Sr 0.071 0.395 0.104
Sr4 Sr 0.071 0.777 0.712
Sr5 Sr 0.106 0.712 0.036
Sr6 Sr 0.392 0.032 0.714
Sr7 Sr 0.392 0.392 0.713
Sr8 Sr 0.393 0.781 0.391
Sr9 Sr 0.395 0.071 0.104
Sr10 Sr 0.399 0.399 0.358
Sr11 Sr 0.684 0.006 0.326
Sr12 Sr 0.712 0.106 0.036
Sr13 Sr 0.717 0.717 0.423
Sr14 Sr 0.748 0.748 0.072
Sr15 Sr 0.777 0.071 0.712
Sr16 Sr 0.781 0.393 0.391
# Energy of formation in meV/atom: 30

=====

# PaCl2F4 (PBE-GGA, relaxed)
data_PaCl2F4
_chemical_formula_sum 'Pa1 Cl2 F4'
_cell_length_a 7.733
_cell_length_b 7.733
_cell_length_c 7.733
_cell_angle_alpha 145.55
_cell_angle_beta 145.55
_cell_angle_gamma 49.52
_symmetry_space_group_name_H-M 'P 1'
_symmetry_Int_Tables_number 1
loop_
_symmetry_equiv_pos_as_xyz
'x,y,z'
loop_
_atom_site_label
_atom_site_type_symbol
_atom_site_fract_x
_atom_site_fract_y
_atom_site_fract_z
Pa1 Pa 0.000 0.000 0.000
Cl1 Cl 0.374 0.374 0.000
Cl2 Cl 0.626 0.626 0.000
F1 F 0.000 0.500 0.500
F2 F 0.141 0.141 0.000
F3 F 0.500 0.000 0.500
F4 F 0.859 0.859 0.000
# Uncorrected formation energy in eV/f.u.: -17.67

=====

# Mg6AlCd2 (PBE-GGA, relaxed)
data_Mg6AlCd2
_chemical_formula_sum 'Mg6 Al1 Cd2'
_cell_length_a 5.118
_cell_length_b 5.118
_cell_length_c 9.156
_cell_angle_alpha 96.75
_cell_angle_beta 96.75
_cell_angle_gamma 54.94
_symmetry_space_group_name_H-M 'P 1'
_symmetry_Int_Tables_number 1
loop_
_symmetry_equiv_pos_as_xyz
'x,y,z'
loop_
_atom_site_label
_atom_site_type_symbol
_atom_site_fract_x
_atom_site_fract_y
_atom_site_fract_z
Mg1 Mg 0.003 0.003 0.176
Mg2 Mg 0.332 0.332 0.602
Mg3 Mg 0.334 0.334 0.946
Mg4 Mg 0.666 0.666 0.054
Mg5 Mg 0.668 0.668 0.398
Mg6 Mg 0.997 0.997 0.824
Al1 Al 0.000 0.000 0.500
Cd1 Cd 0.334 0.334 0.274
Cd2 Cd 0.666 0.666 0.726
# Energy of formation in meV/atom: -14
# Distance to the lowest polymorph of the same formula in meV per atom: 43

=====

Number 1: DOS at the Fermi energy 3.15 states/eV/f.u.. Number 2: DOS at the Fermi energy 3.22 states/eV/f.u.. Number 3: DOS at the Fermi energy 3.61 states/eV/f.u.. Number 4: DOS at the Fermi energy 15.24 states/eV/f.u.. Number 5: DOS at the Fermi energy 2.23 states/eV/f.u.. Number 6: DOS at the Fermi energy 2.92 states/eV/f.u..